Entry 1:
# LiMg3 PBE-GGA relaxed
data_LiMg3
_space_group_name_H-M_alt 'P 1'
_space_group_IT_number 1
_space_group_name_Hall 'P 1'
_cell_length_a 4.964
_cell_length_b 4.964
_cell_length_c 4.964
_cell_angle_alpha 60.00
_cell_angle_beta 60.00
_cell_angle_gamma 60.00
loop_
_atom_site_label
_atom_site_fract_x
_atom_site_fract_y
_atom_site_fract_z
Li1 0.000 0.000 0.000
Mg1 0.250 0.250 0.250
Mg2 0.500 0.500 0.500
Mg3 0.750 0.750 0.750
# E_form: -0.03 eV per atom
# Calculated total energy: -6.81 eV/cell
# Total magnetization: 0.00 μB/f.u.

***

Entry 2:
# Ti2InGa PBE-GGA relaxed
data_Ti2InGa
_space_group_name_H-M_alt 'P 1'
_space_group_IT_number 1
_space_group_name_Hall 'P 1'
_cell_length_a 2.913
_cell_length_b 2.913
_cell_length_c 8.228
_cell_angle_alpha 90.00
_cell_angle_beta 90.00
_cell_angle_gamma 90.00
loop_
_atom_site_label
_atom_site_fract_x
_atom_site_fract_y
_atom_site_fract_z
Ti1 0.000 0.000 0.226
Ti2 0.000 0.000 0.774
In1 0.500 0.500 0.500
Ga1 0.500 0.500 0.000
# E_form: -0.32 eV per atom
# E above lowest polymorph: 0 meV per atom
# Calculated total energy: -22.83 eV/cell
# Total magnetization: 0.00 μB/f.u.

***

Entry 3:
# ZnCrRuRh PBE-GGA relaxed
data_ZnCrRuRh
_space_group_name_H-M_alt 'P 1'
_space_group_IT_number 1
_space_group_name_Hall 'P 1'
_cell_length_a 4.240
_cell_length_b 4.240
_cell_length_c 4.240
_cell_angle_alpha 60.00
_cell_angle_beta 60.00
_cell_angle_gamma 60.00
loop_
_atom_site_label
_atom_site_fract_x
_atom_site_fract_y
_atom_site_fract_z
Zn1 0.000 0.000 0.000
Cr1 0.500 0.500 0.500
Ru1 0.750 0.750 0.750
Rh1 0.250 0.250 0.250
# E_form: -0.08 eV per atom
# Calculated total energy: -27.86 eV/cell
# Total magnetization: 1.22 μB/f.u.

***

Entry 4:
# Ni4GeRh PBE-GGA relaxed
data_Ni4GeRh
_space_group_name_H-M_alt 'P 1'
_space_group_IT_number 1
_space_group_name_Hall 'P 1'
_cell_length_a 4.120
_cell_length_b 4.120
_cell_length_c 4.933
_cell_angle_alpha 94.57
_cell_angle_beta 94.57
_cell_angle_gamma 118.83
loop_
_atom_site_label
_atom_site_fract_x
_atom_site_fract_y
_atom_site_fract_z
Ni1 0.133 0.795 0.747
Ni2 0.205 0.867 0.253
Ni3 0.795 0.133 0.747
Ni4 0.867 0.205 0.253
Ge1 0.500 0.500 0.500
Rh1 0.500 0.500 0.000
# E_form: -0.08 eV per atom
# Calculated total energy: -35.58 eV/cell
# Total magnetization: 0.00 μB/f.u.

***

Entry 5:
# Ba3LiBi2O8 PBE-GGA relaxed
data_Ba3LiBi2O8
_space_group_name_H-M_alt 'P 1'
_space_group_IT_number 1
_space_group_name_Hall 'P 1'
_cell_length_a 6.109
_cell_length_b 6.109
_cell_length_c 7.951
_cell_angle_alpha 90.00
_cell_angle_beta 90.00
_cell_angle_gamma 120.00
loop_
_atom_site_label
_atom_site_fract_x
_atom_site_fract_y
_atom_site_fract_z
Ba1 0.000 0.000 0.000
Ba2 0.333 0.667 0.629
Ba3 0.667 0.333 0.371
Li1 0.000 0.000 0.500
Bi1 0.333 0.667 0.199
Bi2 0.667 0.333 0.801
O1 0.159 0.317 0.317
O2 0.159 0.841 0.317
O3 0.317 0.159 0.683
O4 0.333 0.667 0.938
O5 0.667 0.333 0.062
O6 0.683 0.841 0.317
O7 0.841 0.159 0.683
O8 0.841 0.683 0.683
# Energy relative to the elements, uncorrected: -1.685 eV/atom
# Calculated total energy: -78.71 eV/cell
# Total magnetization: 0.00 μB/f.u.

***

Entry 6:
# Mg2FeCoB PBE-GGA relaxed
data_Mg2FeCoB
_space_group_name_H-M_alt 'P 1'
_space_group_IT_number 1
_space_group_name_Hall 'P 1'
_cell_length_a 4.725
_cell_length_b 4.725
_cell_length_c 3.687
_cell_angle_alpha 90.00
_cell_angle_beta 90.00
_cell_angle_gamma 90.00
loop_
_atom_site_label
_atom_site_fract_x
_atom_site_fract_y
_atom_site_fract_z
Mg1 0.000 0.500 0.000
Mg2 0.500 0.000 0.000
Fe1 0.000 0.000 0.000
Co1 0.500 0.500 0.500
B1 0.000 0.000 0.500
# E_form: 0.95 eV per atom
# Calculated total energy: -20.67 eV/cell
# Total magnetization: 2.32 μB/f.u.

***

Entry 7:
# ZrRuCl PBE-GGA relaxed
data_ZrRuCl
_space_group_name_H-M_alt 'P 1'
_space_group_IT_number 1
_space_group_name_Hall 'P 1'
_cell_length_a 6.799
_cell_length_b 6.637
_cell_length_c 3.148
_cell_angle_alpha 79.33
_cell_angle_beta 73.60
_cell_angle_gamma 27.07
loop_
_atom_site_label
_atom_site_fract_x
_atom_site_fract_y
_atom_site_fract_z
Zr1 0.000 0.000 0.000
Ru1 0.373 0.373 0.627
Cl1 0.654 0.654 0.346
# E above lowest polymorph: 134 meV per atom
# Energy relative to the elements, uncorrected: -0.361 eV/atom
# Calculated total energy: -20.75 eV/cell
# Total magnetization: 0.00 μB/f.u.

***

Entry 8:
# Cd2AgOs PBE-GGA relaxed
data_Cd2AgOs
_space_group_name_H-M_alt 'P 1'
_space_group_IT_number 1
_space_group_name_Hall 'P 1'
_cell_length_a 4.959
_cell_length_b 4.959
_cell_length_c 4.959
_cell_angle_alpha 128.80
_cell_angle_beta 128.80
_cell_angle_gamma 75.33
loop_
_atom_site_label
_atom_site_fract_x
_atom_site_fract_y
_atom_site_fract_z
Cd1 0.250 0.750 0.500
Cd2 0.750 0.250 0.500
Ag1 0.000 0.000 0.000
Os1 0.500 0.500 0.000
# E_form: 0.55 eV per atom
# E above lowest polymorph: 206 meV per atom
# Calculated total energy: -13.71 eV/cell
# Total magnetization: 0.62 μB/f.u.

***

What did the fourth record say?
# Ni4GeRh PBE-GGA relaxed
data_Ni4GeRh
_space_group_name_H-M_alt 'P 1'
_space_group_IT_number 1
_space_group_name_Hall 'P 1'
_cell_length_a 4.120
_cell_length_b 4.120
_cell_length_c 4.933
_cell_angle_alpha 94.57
_cell_angle_beta 94.57
_cell_angle_gamma 118.83
loop_
_atom_site_label
_atom_site_fract_x
_atom_site_fract_y
_atom_site_fract_z
Ni1 0.133 0.795 0.747
Ni2 0.205 0.867 0.253
Ni3 0.795 0.133 0.747
Ni4 0.867 0.205 0.253
Ge1 0.500 0.500 0.500
Rh1 0.500 0.500 0.000
# E_form: -0.08 eV per atom
# Calculated total energy: -35.58 eV/cell
# Total magnetization: 0.00 μB/f.u.

***

Copy entry 3 word for word.
# ZnCrRuRh PBE-GGA relaxed
data_ZnCrRuRh
_space_group_name_H-M_alt 'P 1'
_space_group_IT_number 1
_space_group_name_Hall 'P 1'
_cell_length_a 4.240
_cell_length_b 4.240
_cell_length_c 4.240
_cell_angle_alpha 60.00
_cell_angle_beta 60.00
_cell_angle_gamma 60.00
loop_
_atom_site_label
_atom_site_fract_x
_atom_site_fract_y
_atom_site_fract_z
Zn1 0.000 0.000 0.000
Cr1 0.500 0.500 0.500
Ru1 0.750 0.750 0.750
Rh1 0.250 0.250 0.250
# E_form: -0.08 eV per atom
# Calculated total energy: -27.86 eV/cell
# Total magnetization: 1.22 μB/f.u.